{"formula": "TbEuDy4", "functional": "PBE-GGA", "state": "relaxed", "delta_e_f_ev_per_atom": 0.248, "dos_at_fermi_per_ev_cell": 7.6, "total_magnetization_mub_per_cell": 7.30, "cell": [[0.000, 4.714, 4.714], [4.714, 0.000, 4.714], [4.714, 4.714, 0.000]], "species": ["Tb", "Eu", "Dy", "Dy", "Dy", "Dy"], "frac_coords": [[0.000, 0.000, 0.000], [0.250, 0.250, 0.250], [0.120, 0.627, 0.627], [0.627, 0.120, 0.627], [0.627, 0.627, 0.120], [0.627, 0.627, 0.627]]}